(1)
Material: Ac12Pr6Nd
Method: DFT, GGA-PBE
State: optimized geometry

Calculated values
Crystal system: trigonal
Energy of formation in eV per atom: 0.16
SG: R-3m (166)

Unit cell a=9.479 b=9.479 c=9.479 alpha=98.06 beta=98.06 gamma=98.06
Sites, in units of the cell vectors:
Ac1 0.738 0.000 0.262
Ac2 0.000 0.738 0.262
Ac3 0.262 0.000 0.738
Ac4 0.414 0.414 0.829
Ac5 0.586 0.586 0.171
Ac6 0.586 0.171 0.586
Nd1 0.000 0.000 0.000
Pr1 0.861 0.861 0.598
Ac7 0.262 0.738 0.000
Ac8 0.171 0.586 0.586
Ac9 0.414 0.829 0.414
Pr2 0.402 0.139 0.139
Pr3 0.139 0.402 0.139
Pr4 0.598 0.861 0.861
Ac10 0.738 0.262 0.000
Pr5 0.861 0.598 0.861
Ac11 0.000 0.262 0.738
Pr6 0.139 0.139 0.402
Ac12 0.829 0.414 0.414



(2)
Material: Ac2Pr2Nd7
Method: DFT, GGA-PBE
State: optimized geometry

Calculated values
Crystal system: monoclinic
Energy of formation in eV per atom: 0.24
Distance to the lowest polymorph of the same formula in eV/atom: 0.097
SG: C2/m (12)

Unit cell a=8.933 b=7.993 c=7.993 alpha=53.31 beta=110.94 gamma=110.94
Sites, in units of the cell vectors:
Nd1 0.000 0.000 0.000
Pr1 0.108 0.823 0.823
Ac1 0.500 0.248 0.752
Nd2 0.890 0.573 0.573
Nd3 0.290 0.442 0.949
Nd4 0.110 0.427 0.427
Nd5 0.710 0.051 0.558
Ac2 0.500 0.752 0.248
Nd6 0.710 0.558 0.051
Nd7 0.290 0.949 0.442
Pr2 0.892 0.177 0.177



Which formula does entry 1 have? Ac12Pr6Nd